The following is a DFT calculation (PBE with a Hubbard U) of crystalline HfCrPbO6 at its relaxed geometry. Values from VASP.

```
&SYSTEM
  ibrav = 0, nat = 9, ntyp = 4
/
ATOMIC_SPECIES
Hf 178.49 Hf.upf
Cr 52.00 Cr.upf
Pb 207.20 Pb.upf
O 16.00 O.upf
CELL_PARAMETERS angstrom
5.2803 0.0000 0.0000
-2.6402 4.5729 0.0000
0.0000 0.0000 5.3756
ATOMIC_POSITIONS angstrom
Hf 0.0000 0.0000 0.0000
Cr 0.0000 3.0486 0.4922
Pb 2.6402 1.5243 3.1854
O -1.5554 3.1271 4.5256
O -0.5614 1.6380 1.3080
O -0.9409 4.2401 1.3080
O 0.7097 1.6623 4.5256
O 0.8457 4.3564 4.5256
O 1.5023 3.2677 1.3080
```

Total DFT energy (no corrections) = -7.476 eV per atom
Calculated density = 6.827 g cm⁻³